# 1
# Ba2NaPb5

An optimized crystal structure of Ba2NaPb5 (PBE, the Alexandria database).

Values from the calculation:
Magnetization   0.00 μB/f.u.
Formation energy   -351 meV/atom
VASP energy   -3.3140 eV/atom
Density of states at the Fermi level   5.03 states/eV per cell
Symmetry   No. 107
Calculated volume   286.6 Å³/cell

Cell lengths 7.278, 7.278, 7.278 Å; angles 97.00, 116.04, 116.04 degrees
Fractional coordinates of all 8 atoms:
Ba  0.500  0.232  0.732
Ba  0.500  0.732  0.232
Na  0.000  0.162  0.162
Pb  0.420  0.690  0.690
Pb  0.000  0.270  0.690
Pb  0.000  0.690  0.270
Pb  0.580  0.270  0.270
Pb  0.000  0.731  0.731

=====

# 2
# BaNa12Pb6

An optimized crystal structure of BaNa12Pb6 (PBE, the Alexandria database).

Values from the calculation:
Magnetization   0.00 μB/f.u.
Formation energy   -61 meV/atom
VASP energy   -2.1663 eV/atom
Density of states at the Fermi level   8.68 states/eV per cell
Symmetry   No. 166
Calculated volume   634.1 Å³/cell

Cell lengths 8.869, 8.869, 8.869 Å; angles 102.98, 102.98, 102.98 degrees
Fractional coordinates of all 19 atoms:
Ba  0.000  0.000  0.000
Na  0.891  0.109  0.500
Na  0.875  0.600  0.600
Na  0.600  0.600  0.875
Na  0.400  0.125  0.400
Na  0.400  0.400  0.125
Na  0.125  0.400  0.400
Na  0.109  0.500  0.891
Na  0.500  0.891  0.109
Na  0.109  0.891  0.500
Na  0.891  0.500  0.109
Na  0.500  0.109  0.891
Na  0.600  0.875  0.600
Pb  0.705  0.290  0.290
Pb  0.290  0.290  0.705
Pb  0.290  0.705  0.290
Pb  0.710  0.710  0.295
Pb  0.295  0.710  0.710
Pb  0.710  0.295  0.710

=====

# 3
# Ba4NaPb12

An optimized crystal structure of Ba4NaPb12 (PBE, the Alexandria database).

Values from the calculation:
Magnetization   0.00 μB/f.u.
Formation energy   -334 meV/atom
VASP energy   -3.4820 eV/atom
Density of states at the Fermi level   11.97 states/eV per cell
Symmetry   No. 229
Calculated volume   585.9 Å³/cell

Cell lengths 9.130, 9.130, 9.130 Å; angles 109.47, 109.47, 109.47 degrees
Fractional coordinates of all 17 atoms:
Ba  0.000  0.000  0.500
Ba  0.500  0.000  0.000
Ba  0.500  0.500  0.500
Ba  0.000  0.500  0.000
Na  0.000  0.000  0.000
Pb  0.000  0.302  0.302
Pb  0.000  0.698  0.698
Pb  0.698  0.698  0.000
Pb  0.302  0.302  0.000
Pb  0.302  0.000  0.302
Pb  0.698  0.000  0.698
Pb  0.500  0.250  0.750
Pb  0.500  0.750  0.250
Pb  0.750  0.250  0.500
Pb  0.250  0.750  0.500
Pb  0.750  0.500  0.250
Pb  0.250  0.500  0.750

=====

# 4
# Ba3NaPb

An optimized crystal structure of Ba3NaPb (PBE, the Alexandria database).

Values from the calculation:
Magnetization   0.00 μB/f.u.
Formation energy   -133 meV/atom
VASP energy   -2.2918 eV/atom
Polymorph energy (0 for the lowest one)   0.0 meV/atom
Density of states at the Fermi level   5.55 states/eV per cell
Symmetry   No. 221
Calculated volume   324.0 Å³/cell

Cell lengths 6.868, 6.868, 6.868 Å; angles 90.00, 90.00, 90.00 degrees
Fractional coordinates of all 5 atoms:
Pb  0.000  0.000  0.000
Na  0.500  0.500  0.500
Ba  0.000  0.500  0.000
Ba  0.000  0.000  0.500
Ba  0.500  0.000  0.000

=====

# 5
# BaNa2Pb3

An optimized crystal structure of BaNa2Pb3 (PBE, the Alexandria database).

Values from the calculation:
Magnetization   0.00 μB/f.u.
Formation energy   -243 meV/atom
VASP energy   -2.8576 eV/atom
Density of states at the Fermi level   6.09 states/eV per cell
Symmetry   No. 63
Calculated volume   425.7 Å³/cell

Cell lengths 6.235, 8.286, 8.286 Å; angles 96.03, 90.00, 90.00 degrees
Fractional coordinates of all 12 atoms:
Ba  0.250  0.286  0.286
Ba  0.750  0.714  0.714
Na  0.500  0.760  0.240
Na  0.000  0.760  0.240
Na  0.000  0.240  0.760
Na  0.500  0.240  0.760
Pb  0.750  0.447  0.068
Pb  0.750  0.068  0.447
Pb  0.250  0.553  0.932
Pb  0.750  0.061  0.061
Pb  0.250  0.939  0.939
Pb  0.250  0.932  0.553

=====

# 6
# BaNa3Pb3

An optimized crystal structure of BaNa3Pb3 (PBE, the Alexandria database).

Values from the calculation:
Magnetization   0.00 μB/f.u.
Formation energy   221 meV/atom
VASP energy   -2.2087 eV/atom
Polymorph energy (0 for the lowest one)   457.9 meV/atom
Density of states at the Fermi level   8.99 states/eV per cell
Symmetry   No. 223
Calculated volume   577.4 Å³/cell

Cell lengths 8.327, 8.327, 8.327 Å; angles 90.00, 90.00, 90.00 degrees
Fractional coordinates of all 14 atoms:
Pb  0.250  0.000  0.500
Pb  0.000  0.500  0.250
Pb  0.500  0.750  0.000
Pb  0.750  0.000  0.500
Pb  0.000  0.500  0.750
Pb  0.500  0.250  0.000
Na  0.000  0.250  0.500
Na  0.000  0.750  0.500
Na  0.500  0.000  0.750
Na  0.750  0.500  0.000
Na  0.500  0.000  0.250
Na  0.250  0.500  0.000
Ba  0.500  0.500  0.500
Ba  0.000  0.000  0.000

=====

# 7
# Ba2Na2Pb

An optimized crystal structure of Ba2Na2Pb (PBE, the Alexandria database).

Values from the calculation:
Magnetization   0.00 μB/f.u.
Formation energy   -172 meV/atom
VASP energy   -2.2106 eV/atom
Polymorph energy (0 for the lowest one)   36.0 meV/atom
Density of states at the Fermi level   3.81 states/eV per cell
Symmetry   No. 139
Calculated volume   223.5 Å³/cell

Cell lengths 4.485, 4.485, 11.555 Å; angles 78.81, 78.81, 90.00 degrees
Fractional coordinates of all 5 atoms:
Pb  0.000  0.000  0.000
Na  0.750  0.250  0.500
Na  0.250  0.750  0.500
Ba  0.413  0.413  0.175
Ba  0.587  0.587  0.825

=====

# 8
# BaNa2Pb6

An optimized crystal structure of BaNa2Pb6 (PBE, the Alexandria database).

Values from the calculation:
Magnetization   0.00 μB/f.u.
Formation energy   -158 meV/atom
VASP energy   -3.1371 eV/atom
Density of states at the Fermi level   5.43 states/eV per cell
Symmetry   No. 12
Calculated volume   318.5 Å³/cell

Cell lengths 4.836, 9.309, 9.309 Å; angles 53.07, 73.94, 73.94 degrees
Fractional coordinates of all 9 atoms:
Ba  0.000  0.000  0.000
Na  0.123  0.381  0.381
Na  0.877  0.619  0.619
Pb  0.312  0.000  0.383
Pb  0.688  0.000  0.617
Pb  0.688  0.617  0.000
Pb  0.500  0.318  0.682
Pb  0.500  0.682  0.318
Pb  0.312  0.383  0.000

=====

# 9
# BaNaPb4

An optimized crystal structure of BaNaPb4 (PBE, the Alexandria database).

Values from the calculation:
Magnetization   0.00 μB/f.u.
Formation energy   -258 meV/atom
VASP energy   -3.2703 eV/atom
Polymorph energy (0 for the lowest one)   14.2 meV/atom
Density of states at the Fermi level   11.44 states/eV per cell
Symmetry   No. 216
Calculated volume   211.1 Å³/cell

Cell lengths 6.683, 6.683, 6.683 Å; angles 60.00, 60.00, 60.00 degrees
Fractional coordinates of all 6 atoms:
Pb  0.625  0.625  0.124
Pb  0.625  0.124  0.625
Pb  0.625  0.625  0.625
Pb  0.124  0.625  0.625
Na  0.250  0.250  0.250
Ba  0.000  0.000  0.000

=====

# 10
# Ba2Na2Pb15

An optimized crystal structure of Ba2Na2Pb15 (PBE, the Alexandria database).

Values from the calculation:
Magnetization   0.00 μB/f.u.
Formation energy   -167 meV/atom
VASP energy   -3.4359 eV/atom
Density of states at the Fermi level   11.93 states/eV per cell
Symmetry   No. 166
Calculated volume   650.8 Å³/cell

Cell lengths 8.774, 8.774, 8.774 Å; angles 80.57, 80.57, 80.57 degrees
Fractional coordinates of all 19 atoms:
Ba  0.347  0.347  0.347
Ba  0.653  0.653  0.653
Na  0.100  0.100  0.100
Na  0.900  0.900  0.900
Pb  0.500  0.000  0.000
Pb  0.000  0.000  0.500
Pb  0.000  0.500  0.000
Pb  0.000  0.701  0.299
Pb  0.701  0.299  0.000
Pb  0.299  0.000  0.701
Pb  0.299  0.701  0.000
Pb  0.701  0.000  0.299
Pb  0.000  0.299  0.701
Pb  0.153  0.647  0.647
Pb  0.647  0.647  0.153
Pb  0.647  0.153  0.647
Pb  0.847  0.353  0.353
Pb  0.353  0.353  0.847
Pb  0.353  0.847  0.353

=====

# 11
# Ba2Na2Pb

An optimized crystal structure of Ba2Na2Pb (PBE, the Alexandria database).

Values from the calculation:
Magnetization   0.00 μB/f.u.
Formation energy   -141 meV/atom
VASP energy   -2.1793 eV/atom
Polymorph energy (0 for the lowest one)   67.3 meV/atom
Density of states at the Fermi level   5.85 states/eV per cell
Symmetry   No. 127
Calculated volume   402.7 Å³/cell

Cell lengths 8.391, 8.391, 5.720 Å; angles 90.00, 90.00, 90.00 degrees
Fractional coordinates of all 10 atoms:
Pb  0.000  0.000  0.000
Pb  0.500  0.500  0.000
Na  0.370  0.870  0.000
Na  0.870  0.630  0.000
Na  0.630  0.130  0.000
Na  0.130  0.370  0.000
Ba  0.198  0.698  0.500
Ba  0.698  0.802  0.500
Ba  0.802  0.302  0.500
Ba  0.302  0.198  0.500

=====

# 12
# Ba6Na23Pb

An optimized crystal structure of Ba6Na23Pb (PBE, the Alexandria database).

Values from the calculation:
Magnetization   0.00 μB/f.u.
Formation energy   -43 meV/atom
VASP energy   -1.5623 eV/atom
Density of states at the Fermi level   23.63 states/eV per cell
Symmetry   No. 225
Calculated volume   1285.5 Å³/cell

Cell lengths 12.205, 12.205, 12.205 Å; angles 60.00, 60.00, 60.00 degrees
Fractional coordinates of all 30 atoms:
Ba  0.299  0.701  0.701
Ba  0.701  0.299  0.299
Ba  0.299  0.701  0.299
Ba  0.701  0.299  0.701
Ba  0.701  0.701  0.299
Ba  0.299  0.299  0.701
Na  0.120  0.641  0.120
Na  0.880  0.359  0.880
Na  0.641  0.120  0.120
Na  0.120  0.120  0.120
Na  0.359  0.880  0.880
Na  0.880  0.880  0.880
Na  0.120  0.120  0.641
Na  0.880  0.880  0.359
Na  0.000  0.500  0.500
Na  0.500  0.000  0.000
Na  0.000  0.500  0.000
Na  0.500  0.000  0.500
Na  0.500  0.500  0.000
Na  0.000  0.000  0.500
Na  0.328  0.016  0.328
Na  0.672  0.984  0.672
Na  0.016  0.328  0.328
Na  0.328  0.328  0.328
Na  0.984  0.672  0.672
Na  0.672  0.672  0.672
Na  0.328  0.328  0.016
Na  0.672  0.672  0.984
Na  0.000  0.000  0.000
Pb  0.500  0.500  0.500

=====

# 13
# BaNaPb4

An optimized crystal structure of BaNaPb4 (PBE, the Alexandria database).

Values from the calculation:
Magnetization   0.00 μB/f.u.
Formation energy   -272 meV/atom
VASP energy   -3.2845 eV/atom
Polymorph energy (0 for the lowest one)   0.0 meV/atom
Density of states at the Fermi level   2.68 states/eV per cell
Symmetry   No. 71
Calculated volume   206.8 Å³/cell

Cell lengths 5.031, 7.012, 7.012 Å; angles 68.01, 68.98, 68.97 degrees
Fractional coordinates of all 6 atoms:
Ba  0.000  0.500  0.500
Na  0.000  0.000  0.000
Pb  0.664  0.630  0.043
Pb  0.336  0.957  0.370
Pb  0.336  0.370  0.957
Pb  0.664  0.043  0.630

=====

# 14
# BaNa3Pb2

An optimized crystal structure of BaNa3Pb2 (PBE, the Alexandria database).

Values from the calculation:
Magnetization   0.00 μB/f.u.
Formation energy   -281 meV/atom
VASP energy   -2.4976 eV/atom
Density of states at the Fermi level   2.93 states/eV per cell
Symmetry   No. 12
Calculated volume   406.2 Å³/cell

Cell lengths 5.522, 8.555, 10.404 Å; angles 117.48, 90.00, 108.83 degrees
Fractional coordinates of all 12 atoms:
Ba  0.863  0.727  0.980
Ba  0.137  0.273  0.020
Na  0.283  0.566  0.458
Na  0.942  0.883  0.620
Na  0.594  0.188  0.704
Na  0.406  0.812  0.296
Na  0.058  0.117  0.380
Na  0.717  0.434  0.542
Pb  0.442  0.884  0.822
Pb  0.558  0.116  0.178
Pb  0.781  0.562  0.263
Pb  0.219  0.438  0.737

=====

# 15
# Ba4NaPb2

An optimized crystal structure of Ba4NaPb2 (PBE, the Alexandria database).

Values from the calculation:
Magnetization   0.00 μB/f.u.
Formation energy   -412 meV/atom
VASP energy   -2.7587 eV/atom
Density of states at the Fermi level   4.50 states/eV per cell
Symmetry   No. 166
Calculated volume   318.3 Å³/cell

Cell lengths 6.109, 6.109, 10.460 Å; angles 73.02, 73.02, 60.00 degrees
Fractional coordinates of all 7 atoms:
Ba  0.871  0.871  0.388
Ba  0.129  0.129  0.612
Ba  0.619  0.619  0.143
Ba  0.381  0.381  0.857
Na  0.000  0.000  0.000
Pb  0.746  0.746  0.762
Pb  0.254  0.254  0.238

=====

# 16
# BaNaPb11

An optimized crystal structure of BaNaPb11 (PBE, the Alexandria database).

Values from the calculation:
Magnetization   0.00 μB/f.u.
Formation energy   -112 meV/atom
VASP energy   -3.4994 eV/atom
Density of states at the Fermi level   5.65 states/eV per cell
Symmetry   No. 12
Calculated volume   430.3 Å³/cell

Cell lengths 6.463, 8.887, 8.600 Å; angles 82.64, 67.93, 70.06 degrees
Fractional coordinates of all 13 atoms:
Ba  0.000  0.000  0.000
Na  0.500  0.500  0.000
Pb  0.289  0.218  0.214
Pb  0.711  0.782  0.786
Pb  0.497  0.782  0.214
Pb  0.503  0.218  0.786
Pb  0.350  0.647  0.642
Pb  0.650  0.353  0.358
Pb  0.008  0.353  0.642
Pb  0.992  0.647  0.358
Pb  0.000  0.500  0.000
Pb  0.500  0.000  0.500
Pb  0.000  0.000  0.500

=====

# 17
# Ba3NaPb3

An optimized crystal structure of Ba3NaPb3 (PBE, the Alexandria database).

Values from the calculation:
Magnetization   0.00 μB/f.u.
Formation energy   -481 meV/atom
VASP energy   -3.0826 eV/atom
Density of states at the Fermi level   10.49 states/eV per cell
Symmetry   No. 63
Calculated volume   576.9 Å³/cell

Cell lengths 5.232, 6.905, 17.254 Å; angles 90.00, 90.00, 112.26 degrees
Fractional coordinates of all 14 atoms:
Ba  0.199  0.399  0.896
Ba  0.801  0.601  0.104
Ba  0.199  0.399  0.604
Ba  0.801  0.601  0.396
Ba  0.475  0.949  0.750
Ba  0.525  0.051  0.250
Na  0.500  0.000  0.000
Na  0.500  0.000  0.500
Pb  0.904  0.809  0.899
Pb  0.096  0.191  0.101
Pb  0.904  0.809  0.601
Pb  0.096  0.191  0.399
Pb  0.762  0.525  0.750
Pb  0.238  0.475  0.250

=====

# 18
# BaNa8Pb4

An optimized crystal structure of BaNa8Pb4 (PBE, the Alexandria database).

Values from the calculation:
Magnetization   0.00 μB/f.u.
Formation energy   -164 meV/atom
VASP energy   -2.2647 eV/atom
Density of states at the Fermi level   5.61 states/eV per cell
Symmetry   No. 139
Calculated volume   423.8 Å³/cell

Cell lengths 7.085, 8.507, 8.507 Å; angles 80.02, 65.39, 65.39 degrees
Fractional coordinates of all 13 atoms:
Ba  0.000  0.000  0.000
Na  0.000  0.339  0.661
Na  0.000  0.661  0.339
Na  0.339  0.661  0.661
Na  0.661  0.339  0.339
Na  0.500  0.777  0.223
Na  0.500  0.223  0.777
Na  0.277  0.223  0.223
Na  0.723  0.777  0.777
Pb  0.000  0.000  0.500
Pb  0.500  0.000  0.500
Pb  0.000  0.500  0.000
Pb  0.500  0.500  0.000

=====

# 19
# BaNa5Pb2

An optimized crystal structure of BaNa5Pb2 (PBE, the Alexandria database).

Values from the calculation:
Magnetization   0.00 μB/f.u.
Formation energy   -177 meV/atom
VASP energy   -2.1692 eV/atom
Density of states at the Fermi level   5.59 states/eV per cell
Symmetry   No. 71
Calculated volume   296.7 Å³/cell

Cell lengths 5.251, 7.998, 7.998 Å; angles 76.53, 70.84, 70.84 degrees
Fractional coordinates of all 8 atoms:
Ba  0.000  0.000  0.000
Na  0.000  0.500  0.500
Na  0.677  0.499  0.147
Na  0.323  0.501  0.853
Na  0.323  0.853  0.501
Na  0.677  0.147  0.499
Pb  0.723  0.777  0.777
Pb  0.277  0.223  0.223

=====

# 20
# Ba5Na2Pb12

An optimized crystal structure of Ba5Na2Pb12 (PBE, the Alexandria database).

Values from the calculation:
Magnetization   0.00 μB/f.u.
Formation energy   -338 meV/atom
VASP energy   -3.3248 eV/atom
Density of states at the Fermi level   9.61 states/eV per cell
Symmetry   No. 12
Calculated volume   701.3 Å³/cell

Cell lengths 8.352, 7.909, 11.528 Å; angles 69.94, 79.34, 90.00 degrees
Fractional coordinates of all 19 atoms:
Ba  0.589  0.761  0.479
Ba  0.058  0.689  0.622
Ba  0.500  0.000  0.000
Ba  0.942  0.311  0.378
Ba  0.411  0.239  0.521
Na  0.000  0.764  0.000
Na  0.000  0.236  0.000
Pb  0.030  0.127  0.746
Pb  0.725  0.360  0.675
Pb  0.725  0.966  0.675
Pb  0.350  0.401  0.797
Pb  0.350  0.802  0.797
Pb  0.677  0.544  0.913
Pb  0.323  0.456  0.087
Pb  0.650  0.599  0.203
Pb  0.650  0.198  0.203
Pb  0.275  0.640  0.325
Pb  0.275  0.034  0.325
Pb  0.970  0.873  0.254